(1)
This record from Alexandria via LeMat-Bulk describes a relaxed NbAl2Cu2 crystal. The functional is GGA-PBE.

Energy relative to the lowest polymorph listed for this composition (eV/atom): 0.0000
V (Å³ per atom): 14.5
Uncorrected energy (hartree per atom): -0.196
E_form (meV/atom): -195.3
DOS at the Fermi energy (states/eV/cell): 4.423
Symmetry: P4/mbm, No. 127

Geometry as POSCAR:
```
NbAl2Cu2
1.0
7.2532 0.0000 0.0000
0.0000 7.2532 0.0000
0.0000 0.0000 2.7478
Nb Al Cu
2 4 4
Direct
0.0000 0.0000 0.0000
0.5000 0.5000 0.0000
0.1745 0.3255 0.5000
0.3255 0.8255 0.5000
0.6745 0.1745 0.5000
0.8255 0.6745 0.5000
0.1222 0.6222 0.0000
0.3778 0.1222 0.0000
0.6222 0.8778 0.0000
0.8778 0.3778 0.0000
```


(2)
This record from Alexandria via LeMat-Bulk describes a relaxed Mn3Pd2Au6 crystal. The functional is GGA-PBE.

V (Å³ per atom): 17.5
Uncorrected energy (hartree per atom): -0.195
E_form (meV/atom): -80.3
DOS at the Fermi energy (states/eV/cell): 3.338
Symmetry: P-1, No. 2

Geometry as POSCAR:
```
Mn3Pd2Au6
1.0
4.7515 0.0000 0.0000
2.3663 6.1801 0.0000
0.0636 3.4154 6.5582
Mn Pd Au
3 2 6
Direct
0.0000 0.0000 0.0000
0.3281 0.3442 0.6788
0.6719 0.6558 0.3212
0.1737 0.6503 0.8534
0.8263 0.3497 0.1466
0.0800 0.8379 0.4169
0.2655 0.4689 0.2805
0.4315 0.1387 0.1110
0.5685 0.8613 0.8890
0.7345 0.5311 0.7195
0.9200 0.1621 0.5831
```


(3)
This record from Alexandria via LeMat-Bulk describes a relaxed Pu2ScS3 crystal. The functional is GGA-PBE.

Raw formation energy (eV/atom): -1.51
Energy relative to the lowest polymorph listed for this composition (eV/atom): 0.2333
V (Å³ per atom): 22.5
Uncorrected energy (hartree per atom): -0.346
DOS at the Fermi energy (states/eV/cell): 30.080
Symmetry: C2/c, No. 15

Geometry as POSCAR:
```
Pu2ScS3
1.0
5.6153 -3.6443 0.0000
5.6153 3.6443 0.0000
-1.3072 0.0000 6.6037
Pu Sc S
4 2 6
Direct
0.0017 0.3135 0.1501
0.3135 0.0017 0.6501
0.6865 0.9983 0.3499
0.9983 0.6865 0.8499
0.4359 0.5641 0.2500
0.5641 0.4359 0.7500
0.0956 0.9044 0.2500
0.2897 0.3711 0.4783
0.3711 0.2897 0.9783
0.6289 0.7103 0.0217
0.7103 0.6289 0.5217
0.9044 0.0956 0.7500
```


(4)
This record from Alexandria via LeMat-Bulk describes a relaxed TbCe2Ni crystal. The functional is GGA-PBE.

Energy relative to the lowest polymorph listed for this composition (eV/atom): 0.0475
V (Å³ per atom): 26.5
Uncorrected energy (hartree per atom): -0.205
E_form (meV/atom): -15.0
DOS at the Fermi energy (states/eV/cell): 9.079
Symmetry: R-3m, No. 166

Geometry as POSCAR:
```
TbCe2Ni
1.0
1.8107 1.0454 9.3291
-1.8107 1.0454 9.3291
0.0000 -2.0908 9.3291
Tb Ce Ni
1 2 1
Direct
0.0000 0.0000 0.0000
0.2306 0.2306 0.2306
0.7694 0.7694 0.7694
0.5000 0.5000 0.5000
```


(5)
This record from Alexandria via LeMat-Bulk describes a relaxed NbFeS crystal. The functional is GGA-PBE.

Raw formation energy (eV/atom): -0.30
Energy relative to the lowest polymorph listed for this composition (eV/atom): 0.1068
V (Å³ per atom): 15.0
Uncorrected energy (hartree per atom): -0.289
DOS at the Fermi energy (states/eV/cell): 3.685
Symmetry: Cm, No. 8

Geometry as POSCAR:
```
NbFeS
1.0
2.7710 -1.5783 0.0000
2.7710 1.5783 0.0000
-1.7792 0.0000 5.1583
Nb Fe S
1 1 1
Direct
0.0000 0.0000 0.0000
0.8083 0.8083 0.3958
0.5654 0.5654 0.6789
```


(6)
This record from Alexandria via LeMat-Bulk describes a relaxed Ta3MnBr crystal. The functional is GGA-PBE.

Raw formation energy (eV/atom): 1.58
Energy relative to the lowest polymorph listed for this composition (eV/atom): 0.4984
V (Å³ per atom): 20.9
Uncorrected energy (hartree per atom): -0.283
DOS at the Fermi energy (states/eV/cell): 5.717
Symmetry: Pm-3m, No. 221

Geometry as POSCAR:
```
Ta3MnBr
1.0
4.7129 0.0000 0.0000
0.0000 4.7129 0.0000
0.0000 0.0000 4.7129
Ta Mn Br
3 1 1
Direct
0.0000 0.0000 0.5000
0.0000 0.5000 0.0000
0.5000 0.0000 0.0000
0.5000 0.5000 0.5000
0.0000 0.0000 0.0000
```